Material: ThPaPSe
Method: DFT, PBE-GGA
State: optimized geometry

Size of the total moment, μB/f.u.: 0.760
Excess energy over the best structure of this formula in the dataset, eV per atom: 0.000
Electronic total energy, eV/atom: -7.794
Formation energy from raw total energies, eV per atom: -1.34

Lattice parameters (Å, degrees): 3.9254 3.9254 22.1753 90.00 90.00 120.00
Space group R3m (No. 160, hexagonal axes)
Symmetry-distinct sites (fractional):
Th (0.0000, 0.0000, 0.0000)
Pa (0.0000, 0.0000, 0.1828)
P (0.0000, 0.0000, 0.5883)
Se (0.0000, 0.0000, 0.7623)